No. 1
The following is a GGA-PBE calculation of a relaxed structure of Ce5ErBi4, from Alexandria.

abc: 10.5116 11.1679 5.9313
angles: 90.00 90.00 90.00
Fractional coordinates of all 20 atoms:
1 Ce 0.0014 0.9998 0.2381
2 Ce 0.0014 0.5002 0.2381
3 Ce 0.2500 0.2500 0.5010
4 Ce 0.4986 0.9998 0.2381
5 Ce 0.4986 0.5002 0.2381
6 Ce 0.5014 0.0002 0.7619
7 Ce 0.5014 0.4998 0.7619
8 Ce 0.7500 0.7500 0.4990
9 Ce 0.9986 0.0002 0.7619
10 Ce 0.9986 0.4998 0.7619
11 Er 0.2500 0.7500 0.0002
12 Er 0.7500 0.2500 0.9998
13 Bi 0.0696 0.2500 0.9999
14 Bi 0.2500 0.5870 0.5035
15 Bi 0.2500 0.9130 0.5035
16 Bi 0.4304 0.2500 0.9999
17 Bi 0.5696 0.7500 0.0001
18 Bi 0.7500 0.0870 0.4965
19 Bi 0.7500 0.4130 0.4965
20 Bi 0.9304 0.7500 0.0001

Calculated values
Crystal system = orthorhombic
Symmetry = Pmmn (59)
V = 34.8 Å³/atom
E_tot = -0.194 Ha/atom

No. 2
The following is a GGA-PBE calculation of a relaxed structure of CeErBi2, from Alexandria.

abc: 4.5303 4.5303 22.1251
angles: 90.00 90.00 120.00
Fractional coordinates of all 12 atoms:
1 Ce 0.0000 0.0000 0.0000
2 Ce 0.3333 0.6667 0.6667
3 Ce 0.6667 0.3333 0.3333
4 Er 0.0000 0.0000 0.5000
5 Er 0.3333 0.6667 0.1667
6 Er 0.6667 0.3333 0.8333
7 Bi 0.0000 0.0000 0.2470
8 Bi 0.0000 0.0000 0.7530
9 Bi 0.3333 0.6667 0.4197
10 Bi 0.3333 0.6667 0.9136
11 Bi 0.6667 0.3333 0.0864
12 Bi 0.6667 0.3333 0.5803

Calculated values
Crystal system = trigonal
Symmetry = R-3m (166)
V = 32.8 Å³/atom
E_tot = -0.197 Ha/atom